# 1
{"formula": "CaPu2Ga9", "functional": "PBE-GGA", "state": "relaxed", "dos_at_fermi_per_ev_cell": 16.7, "e_form_ev_per_atom": -0.292, "final_energy_ev_per_atom": -5.118, "lattice_angstrom": [[2.7755, 1.6025, 9.0346], [-2.7755, 1.6025, 9.0346], [0.0000, -3.2049, 9.0346]], "species": ["Ca", "Pu", "Pu", "Ga", "Ga", "Ga", "Ga", "Ga", "Ga", "Ga", "Ga", "Ga"], "fractional_positions": [[0.0000, 0.0000, 0.0000], [0.1434, 0.1434, 0.1434], [0.8566, 0.8566, 0.8566], [0.0775, 0.5887, 0.5887], [0.3360, 0.3360, 0.3360], [0.4113, 0.4113, 0.9225], [0.4113, 0.9225, 0.4113], [0.5000, 0.5000, 0.5000], [0.5887, 0.0775, 0.5887], [0.5887, 0.5887, 0.0775], [0.6640, 0.6640, 0.6640], [0.9225, 0.4113, 0.4113]]}

---

# 2
{"formula": "CaPuGa", "functional": "PBE-GGA", "state": "relaxed", "dos_at_fermi_per_ev_cell": 8.6, "e_form_ev_per_atom": -0.097, "e_above_lowest_polymorph_mev_per_atom": 136, "final_energy_ev_per_atom": -6.550, "lattice_angstrom": [[4.7077, 0.0000, 0.0000], [0.0000, 3.5485, 0.0000], [-0.8365, 0.0000, 8.7165]], "species": ["Ca", "Ca", "Pu", "Pu", "Ga", "Ga"], "fractional_positions": [[0.2289, 0.2500, 0.3645], [0.7711, 0.7500, 0.6355], [0.1576, 0.7500, 0.0204], [0.8424, 0.2500, 0.9796], [0.3009, 0.2500, 0.7569], [0.6991, 0.7500, 0.2431]]}

---

# 3
{"formula": "CaPu2Ga8", "functional": "PBE-GGA", "state": "relaxed", "dos_at_fermi_per_ev_cell": 24.0, "e_form_ev_per_atom": -0.328, "final_energy_ev_per_atom": -5.317, "lattice_angstrom": [[-2.2192, 3.4531, 7.3942], [2.2192, -3.4531, 7.3942], [2.2192, 3.4531, -7.3942]], "species": ["Ca", "Pu", "Pu", "Ga", "Ga", "Ga", "Ga", "Ga", "Ga", "Ga", "Ga"], "fractional_positions": [[0.0000, 0.0000, 0.0000], [0.3703, 0.8703, 0.5000], [0.6297, 0.1297, 0.5000], [0.0344, 0.3369, 0.6976], [0.2147, 0.2147, 0.0000], [0.3194, 0.5000, 0.8194], [0.3607, 0.6631, 0.6976], [0.6393, 0.3369, 0.3024], [0.6806, 0.5000, 0.1806], [0.7853, 0.7853, 0.0000], [0.9656, 0.6631, 0.3024]]}

---

# 4
{"formula": "Ca2PuGa6", "functional": "PBE-GGA", "state": "relaxed", "dos_at_fermi_per_ev_cell": 12.8, "e_form_ev_per_atom": -0.421, "final_energy_ev_per_atom": -4.476, "lattice_angstrom": [[7.6521, 0.0000, 0.0000], [-3.8260, 6.6269, 0.0000], [0.0000, 0.0000, 3.8756]], "species": ["Ca", "Ca", "Pu", "Ga", "Ga", "Ga", "Ga", "Ga", "Ga"], "fractional_positions": [[0.3333, 0.6667, 0.0000], [0.6667, 0.3333, 0.0000], [0.0000, 0.0000, 0.0000], [0.0000, 0.3326, 0.5000], [0.0000, 0.6674, 0.5000], [0.3326, 0.0000, 0.5000], [0.3326, 0.3326, 0.5000], [0.6674, 0.0000, 0.5000], [0.6674, 0.6674, 0.5000]]}

---

# 5
{"formula": "CaPuGa4", "functional": "PBE-GGA", "state": "relaxed", "dos_at_fermi_per_ev_cell": 8.3, "e_form_ev_per_atom": -0.411, "e_above_lowest_polymorph_mev_per_atom": 0, "final_energy_ev_per_atom": -5.151, "lattice_angstrom": [[3.5377, 0.0000, 0.0000], [0.0000, 4.5233, 0.0000], [0.0000, 0.0000, 7.8881]], "species": ["Ca", "Pu", "Ga", "Ga", "Ga", "Ga"], "fractional_positions": [[0.0000, 0.0000, 0.0000], [0.0000, 0.5000, 0.5000], [0.5000, 0.0000, 0.3343], [0.5000, 0.0000, 0.6657], [0.5000, 0.5000, 0.1661], [0.5000, 0.5000, 0.8339]]}

---

# 6
{"formula": "Ca2PuGa2Rh5", "functional": "PBE-GGA", "state": "relaxed", "dos_at_fermi_per_ev_cell": 30.5, "e_form_ev_per_atom": -0.586, "final_energy_ev_per_atom": -6.700, "lattice_angstrom": [[9.9524, 0.0000, 0.0000], [0.0000, 9.9524, 0.0000], [0.0000, 0.0000, 3.6372]], "species": ["Ca", "Ca", "Ca", "Ca", "Pu", "Pu", "Ga", "Ga", "Ga", "Ga", "Rh", "Rh", "Rh", "Rh", "Rh", "Rh", "Rh", "Rh", "Rh", "Rh"], "fractional_positions": [[0.1719, 0.3281, 0.0000], [0.3281, 0.8281, 0.0000], [0.6719, 0.1719, 0.0000], [0.8281, 0.6719, 0.0000], [0.0000, 0.0000, 0.0000], [0.5000, 0.5000, 0.0000], [0.1241, 0.6241, 0.0000], [0.3759, 0.1241, 0.0000], [0.6241, 0.8759, 0.0000], [0.8759, 0.3759, 0.0000], [0.0000, 0.5000, 0.5000], [0.0688, 0.7941, 0.5000], [0.2059, 0.0688, 0.5000], [0.2941, 0.5688, 0.5000], [0.4312, 0.2941, 0.5000], [0.5000, 0.0000, 0.5000], [0.5688, 0.7059, 0.5000], [0.7059, 0.4312, 0.5000], [0.7941, 0.9312, 0.5000], [0.9312, 0.2059, 0.5000]]}

---

# 7
{"formula": "CaPuGaRu", "functional": "PBE-GGA", "state": "relaxed", "dos_at_fermi_per_ev_cell": 10.9, "e_form_ev_per_atom": -0.036, "final_energy_ev_per_atom": -7.195, "lattice_angstrom": [[0.0000, 3.4879, 3.4879], [3.4879, 0.0000, 3.4879], [3.4879, 3.4879, 0.0000]], "species": ["Ca", "Pu", "Ga", "Ru"], "fractional_positions": [[0.0000, 0.0000, 0.0000], [0.5000, 0.5000, 0.5000], [0.2500, 0.2500, 0.2500], [0.7500, 0.7500, 0.7500]]}

---

# 8
{"formula": "CaPuGaSi", "functional": "PBE-GGA", "state": "relaxed", "dos_at_fermi_per_ev_cell": 8.9, "final_energy_ev_per_atom": -6.478, "lattice_angstrom": [[0.0000, 3.5640, 3.5640], [3.5640, 0.0000, 3.5640], [3.5640, 3.5640, 0.0000]], "species": ["Ca", "Pu", "Ga", "Si"], "fractional_positions": [[0.0000, 0.0000, 0.0000], [0.5000, 0.5000, 0.5000], [0.2500, 0.2500, 0.2500], [0.7500, 0.7500, 0.7500]]}

---

# 9
{"formula": "CaPuGaSn", "functional": "PBE-GGA", "state": "relaxed", "dos_at_fermi_per_ev_cell": 11.3, "e_form_ev_per_atom": -0.360, "final_energy_ev_per_atom": -6.201, "lattice_angstrom": [[0.0000, 3.7341, 3.7341], [3.7341, 0.0000, 3.7341], [3.7341, 3.7341, 0.0000]], "species": ["Ca", "Pu", "Ga", "Sn"], "fractional_positions": [[0.0000, 0.0000, 0.0000], [0.5000, 0.5000, 0.5000], [0.2500, 0.2500, 0.2500], [0.7500, 0.7500, 0.7500]]}

---

# 10
{"formula": "CaPuTlGa", "functional": "PBE-GGA", "state": "relaxed", "dos_at_fermi_per_ev_cell": 8.5, "e_form_ev_per_atom": -0.268, "e_above_lowest_polymorph_mev_per_atom": 0, "final_energy_ev_per_atom": -5.699, "lattice_angstrom": [[3.5848, 0.0000, 0.0000], [0.0000, 3.5848, 0.0000], [0.0000, 0.0000, 8.1517]], "species": ["Ca", "Pu", "Tl", "Ga"], "fractional_positions": [[0.0000, 0.0000, 0.0000], [0.0000, 0.0000, 0.5477], [0.5000, 0.5000, 0.2713], [0.5000, 0.5000, 0.7666]]}